1.
VASP calculation (GGA-PBE) on a relaxed BaYPtW2 crystal.

```
BaYPtW2
1.0
4.962 0.000 0.000
0.000 5.682 0.000
0.000 0.000 4.962
Ba W Y Pt
1 2 1 1
Direct
0.000 0.500 0.000
0.000 0.000 0.500
0.500 0.000 0.000
0.500 0.500 0.500
0.000 0.000 0.000
```

Values from the calculation:
VASP energy = -6.74 eV/atom
SG = P4/mmm, No. 123
magnetic moment = 0.00 μB per atom
ΔH_f (0 K) = 1328.4 meV/atom

2.
VASP calculation (GGA-PBE) on a relaxed LaEu2Tl crystal.

```
LaEu2Tl
1.0
-2.583 -1.018 -4.971
-1.040 -5.357 -1.623
-5.344 -1.963 -0.082
Eu La Tl
2 1 1
Direct
0.750 0.750 0.750
0.250 0.250 0.250
0.000 0.000 0.000
0.500 0.500 0.500
```

Values from the calculation:
VASP energy = -7.04 eV/atom
SG = Fm-3m, No. 225
relative energy among the computed polymorphs = 0.108 eV per atom
magnetic moment = 3.99 μB per atom
ΔH_f (0 K) = -79.1 meV/atom

3.
VASP calculation (GGA-PBE) on a relaxed KNdSn2 crystal.

```
KNdSn2
1.0
4.207 0.000 0.000
0.000 4.207 0.000
0.000 0.000 7.864
Nd Sn K
1 2 1
Direct
0.500 0.500 0.000
0.000 0.000 0.813
0.000 0.000 0.187
0.500 0.500 0.500
```

Values from the calculation:
VASP energy = -3.89 eV/atom
SG = P4/mmm, No. 123
magnetic moment = 0.00 μB per atom
ΔH_f (0 K) = -424.7 meV/atom

4.
VASP calculation (GGA-PBE) on a relaxed In2Ag3Au crystal.

```
In2Ag3Au
1.0
-1.105 6.602 -0.100
-4.444 -1.197 4.862
4.543 0.183 3.344
In Ag Au
4 6 2
Direct
0.065 0.592 0.270
0.408 0.935 0.230
0.592 0.065 0.770
0.935 0.408 0.730
0.332 0.317 0.500
0.708 0.292 0.250
0.317 0.332 0.000
0.292 0.708 0.750
0.668 0.683 0.500
0.683 0.668 0.000
0.997 0.003 0.250
0.003 0.997 0.750
```

Values from the calculation:
VASP energy = -2.87 eV/atom
SG = C2/c, No. 15
relative energy among the computed polymorphs = 0.066 eV per atom
magnetic moment = 0.00 μB per atom
ΔH_f (0 K) = 17.6 meV/atom

5.
VASP calculation (GGA-PBE) on a relaxed PuSb2Au6 crystal.

```
PuSb2Au6
1.0
-2.178 -1.540 -5.247
2.646 -8.300 0.551
-8.288 1.678 2.163
Sb Au Pu
4 12 2
Direct
0.048 0.760 0.565
0.452 0.435 0.240
0.548 0.565 0.760
0.952 0.240 0.435
0.271 0.617 0.063
0.855 0.159 0.094
0.453 0.243 0.508
0.771 0.063 0.617
0.229 0.937 0.383
0.645 0.906 0.841
0.953 0.508 0.243
0.729 0.383 0.937
0.547 0.757 0.492
0.145 0.841 0.906
0.355 0.094 0.159
0.047 0.492 0.757
0.750 0.825 0.175
0.250 0.175 0.825
```

Values from the calculation:
VASP energy = -4.87 eV/atom
SG = C2/c, No. 15
magnetic moment = 0.60 μB per atom
E_form (uncorrected) = -180 meV per atom

6.
VASP calculation (GGA-PBE) on a relaxed Mn2IrPt2 crystal.

```
Mn2IrPt2
1.0
-4.822 -0.978 5.294
-5.117 -1.376 -4.915
0.623 -2.617 0.084
Mn Ir Pt
4 2 4
Direct
0.670 0.830 0.500
0.330 0.170 0.500
0.170 0.670 0.500
0.830 0.330 0.500
0.000 0.000 0.000
0.500 0.500 0.000
0.630 0.130 0.000
0.870 0.630 0.000
0.130 0.370 0.000
0.370 0.870 0.000
```

Values from the calculation:
VASP energy = -7.59 eV/atom
SG = P4/mbm, No. 127
relative energy among the computed polymorphs = 0.063 eV per atom
magnetic moment = 0.00 μB per atom
ΔH_f (0 K) = 268.8 meV/atom

7.
VASP calculation (GGA-PBE) on a relaxed ThScPtAu crystal.

```
ThScPtAu
1.0
5.017 0.000 0.000
2.508 4.345 0.000
2.508 1.448 4.096
Th Au Pt Sc
1 1 1 1
Direct
0.500 0.500 0.500
0.250 0.250 0.250
0.750 0.750 0.750
0.000 0.000 0.000
```

Values from the calculation:
VASP energy = -6.61 eV/atom
SG = F-43m, No. 216
magnetic moment = 0.00 μB per atom
ΔH_f (0 K) = -842.2 meV/atom

8.
VASP calculation (GGA-PBE) on a relaxed BaSr2CdO4 crystal.

```
BaSr2CdO4
1.0
-2.138 2.972 -0.501
-4.034 -5.092 0.635
-0.366 1.867 12.649
O Sr Cd Ba
8 4 2 2
Direct
0.548 0.096 0.250
0.452 0.904 0.750
0.000 0.000 0.500
0.000 0.000 0.000
0.736 0.473 0.880
0.264 0.527 0.380
0.736 0.473 0.620
0.264 0.527 0.120
0.371 0.743 0.960
0.629 0.257 0.040
0.371 0.743 0.540
0.629 0.257 0.460
0.851 0.701 0.750
0.149 0.299 0.250
0.883 0.767 0.250
0.117 0.233 0.750
```

Values from the calculation:
VASP energy = -5.46 eV/atom
SG = Cmcm, No. 63
magnetic moment = 0.02 μB per atom
E_form (uncorrected) = -2210 meV per atom

9.
VASP calculation (GGA-PBE) on a relaxed TcRuCl2 crystal.

```
TcRuCl2
1.0
-2.102 -3.416 -3.670
1.430 -4.223 3.111
-4.841 -3.597 2.093
Ru Tc Cl
2 2 4
Direct
0.750 0.250 0.500
0.000 0.000 0.000
0.250 0.750 0.500
0.500 0.500 0.000
0.128 0.625 0.250
0.875 0.872 0.750
0.375 0.378 0.750
0.622 0.125 0.250
```

Values from the calculation:
VASP energy = -4.93 eV/atom
SG = I-42d, No. 122
relative energy among the computed polymorphs = 0.972 eV per atom
magnetic moment = 0.17 μB per atom
E_form (uncorrected) = 907 meV per atom

10.
VASP calculation (GGA-PBE) on a relaxed LaHgAs2Se crystal.

```
LaHgAs2Se
1.0
-3.184 -1.850 3.580
-2.774 -2.303 -3.658
3.008 -4.323 0.441
As La Se Hg
2 1 1 1
Direct
0.000 0.500 0.000
0.500 0.000 0.000
0.500 0.500 0.500
0.000 0.000 0.500
0.000 0.000 0.000
```

Values from the calculation:
VASP energy = -3.64 eV/atom
SG = P4/mmm, No. 123
relative energy among the computed polymorphs = 0.000 eV per atom
magnetic moment = 0.00 μB per atom
E_form (uncorrected) = -39 meV per atom

11.
VASP calculation (GGA-PBE) on a relaxed SmY2IrO8 crystal.

```
SmY2IrO8
1.0
5.078 -0.022 -0.003
0.010 5.067 -0.006
0.004 0.008 6.859
Ir Y O Sm
1 2 8 1
Direct
0.000 0.000 0.000
0.500 0.500 0.749
0.500 0.500 0.251
0.687 0.688 0.500
0.184 0.815 0.206
0.816 0.185 0.206
0.313 0.312 0.500
0.184 0.815 0.794
0.816 0.185 0.794
0.732 0.733 0.000
0.268 0.267 0.000
0.000 0.000 0.500
```

Values from the calculation:
VASP energy = -7.83 eV/atom
SG = P2/m, No. 10
magnetic moment = 0.15 μB per atom
E_form (uncorrected) = -2318 meV per atom

12.
VASP calculation (GGA-PBE) on a relaxed CuPt2Rh crystal.

```
CuPt2Rh
1.0
-0.936 -1.969 -4.197
-0.754 -4.023 -2.370
-4.738 -0.210 0.237
Pt Cu Rh
2 1 1
Direct
0.500 0.500 0.500
0.000 0.000 0.000
0.750 0.750 0.750
0.250 0.250 0.250
```

Values from the calculation:
VASP energy = -5.92 eV/atom
SG = C2/m, No. 12
magnetic moment = 0.00 μB per atom
ΔH_f (0 K) = -37.2 meV/atom